#P
The following is a DFT calculation (PBE) of a geometry-optimized Te2H2I structure.

Geometry as extended XYZ:
```
10
Lattice="8.471 0.000 0.000 0.000 8.471 0.000 0.000 0.000 3.510" Properties=species:S:1:pos:R:3 pbc="T T T"
Te 5.184 0.948 0.000
H 0.731 4.966 1.755
I 4.236 4.236 0.000
Te 7.523 5.184 0.000
H 4.966 7.741 1.755
H 7.741 3.505 1.755
I 0.000 0.000 0.000
H 3.505 0.731 1.755
Te 0.948 3.287 0.000
Te 3.287 7.523 0.000
```

Space-group type ... P4/mbm, No. 127

=====

#Q
The following is a DFT calculation (PBE) of a geometry-optimized Te2H2I structure.

Geometry as extended XYZ:
```
5
Lattice="-3.785 -2.098 -0.752 0.335 -2.001 3.896 -4.226 1.695 3.710" Properties=species:S:1:pos:R:3 pbc="T T T"
H -2.808 -1.178 4.589
I 0.000 0.000 0.000
H -4.868 -1.226 2.265
Te -2.493 -0.900 2.229
Te -5.183 -1.504 4.626
```

Space-group type ... I4/mmm, No. 139

=====

Of them, #Q has the highest stability.

=====

#P
The following is a DFT calculation (PBE) of a geometry-optimized ZnTe2HI structure.

Geometry as extended XYZ:
```
5
Lattice="4.330 0.000 0.000 0.000 4.330 0.000 0.000 0.000 7.965" Properties=species:S:1:pos:R:3 pbc="T T T"
Te 0.000 2.165 0.000
Zn 2.165 2.165 3.982
H 0.000 0.000 0.000
Te 2.165 0.000 0.000
I 0.000 0.000 3.982
```

Space-group type ... P4/mmm, No. 123

=====

#Q
The following is a DFT calculation (PBE) of a geometry-optimized ZnTe2HI structure.

Geometry as extended XYZ:
```
5
Lattice="-2.615 -4.594 0.656 4.390 -2.693 -1.358 1.642 -0.138 5.580" Properties=species:S:1:pos:R:3 pbc="T T T"
Te 2.195 -1.347 -0.679
Zn 0.000 0.000 0.000
Te -1.308 -2.297 0.328
H 1.708 -3.712 2.439
I 0.821 -0.069 2.790
```

Space-group type ... P4/mmm, No. 123

=====

Of them, #P has the highest stability.

=====

#P
The following is a DFT calculation (PBE) of a geometry-optimized TiH3I structure.

Geometry as extended XYZ:
```
5
Lattice="-1.514 -3.245 1.392 1.271 -1.914 -3.080 3.295 -0.753 1.828" Properties=species:S:1:pos:R:3 pbc="T T T"
H 1.648 -0.377 0.914
I 1.526 -2.956 0.070
Ti 0.000 0.000 0.000
H 0.635 -0.957 -1.540
H -0.757 -1.623 0.696
```

Space-group type ... Pm-3m, No. 221

=====

#Q
The following is a DFT calculation (PBE) of a geometry-optimized TiH3I structure.

Geometry as extended XYZ:
```
5
Lattice="4.067 0.000 0.000 0.000 4.067 0.000 0.000 0.000 4.067" Properties=species:S:1:pos:R:3 pbc="T T T"
Ti 2.033 2.033 2.033
H 0.000 0.000 2.033
H 2.033 0.000 0.000
H 0.000 2.033 0.000
I 0.000 0.000 0.000
```

Space-group type ... Pm-3m, No. 221

=====

Of them, #P has the highest stability.

=====

#P
The following is a DFT calculation (PBE) of a geometry-optimized TlHI3 structure.

Geometry as extended XYZ:
```
10
Lattice="-5.188 1.458 1.207 -4.324 -6.148 -5.506 -0.889 -3.871 7.800" Properties=species:S:1:pos:R:3 pbc="T T T"
I -6.169 -4.290 5.926
Tl -2.104 -1.429 0.012
Tl -8.297 -7.132 3.488
H -6.561 -2.708 6.608
I -6.284 -8.522 0.943
I -4.231 -4.271 -2.425
H -3.840 -5.853 -3.108
I -4.117 -0.039 2.557
I -3.861 -4.616 1.952
I -6.540 -3.945 1.549
```

Space-group type ... P-1, No. 2

=====

#Q
The following is a DFT calculation (PBE) of a geometry-optimized TlHI3 structure.

Geometry as extended XYZ:
```
10
Lattice="9.349 -1.237 -0.527 3.770 5.786 -0.401 3.880 1.423 7.203" Properties=species:S:1:pos:R:3 pbc="T T T"
I 5.665 3.411 1.427
I 10.612 0.300 1.014
I 7.098 0.856 4.452
H 11.745 0.917 5.133
I 9.900 5.115 1.823
I 11.334 2.560 4.848
Tl 7.550 3.054 6.661
Tl 9.449 2.917 -0.386
H 5.254 5.055 1.143
I 6.387 5.671 5.261
```

Space-group type ... P-1, No. 2

=====

Of them, #P has the highest stability.

=====

#P
The following is a DFT calculation (PBE) of a geometry-optimized TlHI structure.

Geometry as extended XYZ:
```
6
Lattice="5.041 -0.791 0.252 1.290 7.825 -0.495 0.060 1.852 4.624" Properties=species:S:1:pos:R:3 pbc="T T T"
Tl 5.088 4.099 2.646
I 3.153 7.710 1.201
H 4.736 2.165 3.428
Tl 5.676 8.056 3.713
H 2.183 1.634 0.991
I 2.505 3.383 0.284
```

Space-group type ... P-1, No. 2

=====

#Q
The following is a DFT calculation (PBE) of a geometry-optimized TlHI structure.

Geometry as extended XYZ:
```
6
Lattice="3.788 -0.055 -1.219 -0.102 6.587 -0.609 -1.697 0.661 7.466" Properties=species:S:1:pos:R:3 pbc="T T T"
I 1.502 5.401 4.221
Tl 0.415 5.086 1.112
H -0.321 2.138 5.136
Tl 1.574 2.108 4.525
I 0.487 1.792 1.417
H 2.310 5.055 0.502
```

Space-group type ... P-1, No. 2

=====

Of them, #P has the highest stability.

=====

#P
The following is a DFT calculation (PBE) of a geometry-optimized TlH2I structure.

Geometry as extended XYZ:
```
8
Lattice="4.316 -0.007 0.000 -2.153 8.753 0.000 0.000 0.000 5.636" Properties=species:S:1:pos:R:3 pbc="T T T"
I 0.005 7.194 4.227
Tl -0.004 1.325 4.227
H 0.014 4.723 1.033
H 0.014 4.723 1.785
H 2.149 4.024 4.603
Tl 2.167 7.422 1.409
I 2.158 1.553 1.409
H 2.149 4.024 3.851
```

Space-group type ... P2_1/m, No. 11

=====

#Q
The following is a DFT calculation (PBE) of a geometry-optimized TlH2I structure.

Geometry as extended XYZ:
```
4
Lattice="0.000 3.338 3.338 3.338 0.000 3.338 3.338 3.338 0.000" Properties=species:S:1:pos:R:3 pbc="T T T"
I 0.000 0.000 0.000
H 5.008 5.008 5.008
H 1.669 1.669 1.669
Tl 3.338 3.338 3.338
```

Space-group type ... Fm-3m, No. 225

=====

Of them, #P has the highest stability.